A geometry-optimized SbMo2 structure, computed with PBE.

Its crystal system is cubic.

The structure belongs to space group Fd-3m (No. 227, origin choice 2); the cell edges are 7.6172, 7.6172 and 7.6172 Å and the angles 90.00°, 90.00° and 90.00°. The asymmetric unit holds Sb at (0.1250, 0.1250, 0.1250) and Mo at (0.0000, 0.0000, 0.5000).

=====

A geometry-optimized BeNbMoAs structure, computed with PBE.

Its crystal system is cubic.

The structure belongs to space group F-43m (No. 216); the cell edges are 6.1735, 6.1735 and 6.1735 Å and the angles 90.00°, 90.00° and 90.00°. The asymmetric unit holds Be at (0.0000, 0.0000, 0.0000), Nb at (0.2500, 0.2500, 0.2500), Mo at (0.0000, 0.0000, 0.5000) and As at (0.2500, 0.2500, 0.7500).

=====

A geometry-optimized PrDyPd4Pb2 structure, computed with PBE.

Its crystal system is hexagonal.

The structure belongs to space group P-6m2 (No. 187); the cell edges are 4.7166, 4.7166 and 9.0124 Å and the angles 90.00°, 90.00° and 120.00°. The asymmetric unit holds Pr at (0.0000, 0.0000, 0.0000), Dy at (0.6667, 0.3333, 0.5000), Pd at (0.0000, 0.0000, 0.3433), Pd at (0.6667, 0.3333, 0.1667) and Pb at (0.3333, 0.6667, 0.2602).

=====

A geometry-optimized Hf3Zr3Ga2Fe structure, computed with PBE.

Its crystal system is hexagonal.

The structure belongs to space group P-62m (No. 189); the cell edges are 7.7905, 7.7905 and 3.3476 Å and the angles 90.00°, 90.00° and 120.00°. The asymmetric unit holds Hf at (0.0000, 0.7532, 0.0000), Zr at (0.0000, 0.4001, 0.5000), Ga at (0.3333, 0.6667, 0.0000) and Fe at (0.0000, 0.0000, 0.5000).

=====

A geometry-optimized PaTcPb structure, computed with PBE.

Its crystal system is cubic.

The structure belongs to space group F-43m (No. 216); the cell edges are 6.8734, 6.8734 and 6.8734 Å and the angles 90.00°, 90.00° and 90.00°. The asymmetric unit holds Pa at (0.0000, 0.0000, 0.0000), Tc at (0.2500, 0.2500, 0.2500) and Pb at (0.2500, 0.2500, 0.7500).

=====

A geometry-optimized CdFeCoGe structure, computed with PBE.

Its crystal system is cubic.

The structure belongs to space group F-43m (No. 216); the cell edges are 6.0706, 6.0706 and 6.0706 Å and the angles 90.00°, 90.00° and 90.00°. The asymmetric unit holds Cd at (0.0000, 0.0000, 0.0000), Fe at (0.2500, 0.2500, 0.2500), Co at (0.2500, 0.2500, 0.7500) and Ge at (0.0000, 0.0000, 0.5000).

=====

| no. | total DFT energy (no corrections) (eV/atom) |
| --- | --- |
| 1 | -8.16 |
| 2 | -7.12 |
| 3 | -5.36 |
| 4 | -8.14 |
| 5 | -6.88 |
| 6 | -4.95 |